Compound: PmPr2Ga
Source: the Alexandria database
Functional: PBE-GGA
Structure: relaxed

a = 4.872 Å, b = 4.872 Å, c = 4.885 Å
α = 90.00°, β = 90.00°, γ = 90.00°
Fractional coordinates of all 4 atoms:
1 Pm 0.000 0.000 0.000
2 Pr 0.000 0.500 0.500
3 Pr 0.500 0.000 0.500
4 Ga 0.500 0.500 0.000

space-group type	P4/mmm (123)
VASP energy	-4.567	eV/atom
volume	29.0	Å³ per atom
magnetization	0.00	μB/f.u.
energy above the lowest structure with this stoichiometry	0.007	eV per atom
ΔH_f (0 K)	-0.23	eV per atom